<i>
Entry from Alexandria via LeMat-Bulk: a relaxed CaCd2In6 crystal (PBE).

Geometry as POSCAR:
```
CaCd2In6
1.0
2.519 1.454 11.432
-2.519 1.454 11.432
0.000 -2.909 11.432
Ca Cd In
1 2 6
Direct
0.000 0.000 0.000
0.104 0.104 0.104
0.896 0.896 0.896
0.193 0.193 0.193
0.291 0.291 0.291
0.401 0.401 0.401
0.599 0.599 0.599
0.709 0.709 0.709
0.807 0.807 0.807
```

total magnetization: 0.00 μB/f.u.



<ii>
Entry from Alexandria via LeMat-Bulk: a relaxed CaCd2In6 crystal (PBE).

Geometry as POSCAR:
```
CaCd2In6
1.0
7.327 -5.029 0.000
7.327 5.029 0.000
-0.676 0.000 3.236
Ca Cd In
1 2 6
Direct
0.000 0.000 0.000
0.373 0.373 0.884
0.627 0.627 0.116
0.032 0.341 0.686
0.304 0.696 0.500
0.341 0.032 0.686
0.659 0.968 0.314
0.696 0.304 0.500
0.968 0.659 0.314
```

total magnetization: 0.00 μB/f.u.



Which structure wins on stability? <ii> wins.



<i>
Entry from Alexandria via LeMat-Bulk: a relaxed Ca2Cd2In3 crystal (PBE).

Geometry as POSCAR:
```
Ca2Cd2In3
1.0
5.667 -2.328 0.000
5.667 2.328 0.000
-1.306 0.000 7.289
Ca Cd In
2 2 3
Direct
0.116 0.116 0.323
0.884 0.884 0.677
0.404 0.404 0.349
0.596 0.596 0.651
0.204 0.204 0.863
0.500 0.500 0.000
0.796 0.796 0.137
```

total magnetization: 0.00 μB/f.u.



<ii>
Entry from Alexandria via LeMat-Bulk: a relaxed Ca2Cd2In3 crystal (PBE).

Geometry as POSCAR:
```
Ca2Cd2In3
1.0
2.303 -10.562 0.000
2.303 10.562 0.000
0.000 0.000 8.001
Ca Cd In
4 4 6
Direct
0.057 0.943 0.750
0.157 0.843 0.250
0.843 0.157 0.750
0.943 0.057 0.250
0.314 0.686 0.056
0.314 0.686 0.444
0.686 0.314 0.556
0.686 0.314 0.944
0.228 0.772 0.750
0.440 0.560 0.573
0.440 0.560 0.927
0.560 0.440 0.073
0.560 0.440 0.427
0.772 0.228 0.250
```

total magnetization: 0.00 μB/f.u.



Which structure wins on stability? <ii> wins.



<i>
Entry from Alexandria via LeMat-Bulk: a relaxed CaLaCdInNiS crystal (PBE).

Geometry as POSCAR:
```
CaLaCdInNiS
1.0
4.248 0.000 0.000
2.120 4.919 0.000
0.000 0.217 7.201
Ca La Cd In Ni S
1 1 1 1 1 1
Direct
0.000 0.000 0.000
0.283 0.433 0.336
0.703 0.594 0.675
0.999 0.002 0.548
0.562 0.879 0.320
0.698 0.602 0.068
```

total magnetization: 0.00 μB/f.u.



<ii>
Entry from Alexandria via LeMat-Bulk: a relaxed CaLaCdInNiS crystal (PBE).

Geometry as POSCAR:
```
CaLaCdInNiS
1.0
3.857 0.000 0.000
0.000 1.934 9.588
0.000 -1.934 9.588
Ca La Cd In Ni S
1 1 1 1 1 1
Direct
0.000 0.000 0.000
0.500 0.817 0.817
0.500 0.621 0.621
0.000 0.206 0.206
0.000 0.369 0.369
0.500 0.435 0.435
```

total magnetization: 0.00 μB/f.u.



Which structure wins on stability? <ii> wins.



<i>
Entry from Alexandria via LeMat-Bulk: a relaxed NaCaCdIn crystal (PBE).

Geometry as POSCAR:
```
NaCaCdIn
1.0
4.675 -2.670 0.000
4.675 2.670 0.000
-3.041 0.000 4.389
Na Ca Cd In
1 1 1 1
Direct
0.000 0.000 0.000
0.500 0.500 0.500
0.250 0.250 0.750
0.750 0.750 0.250
```

total magnetization: 0.00 μB/f.u.



<ii>
Entry from Alexandria via LeMat-Bulk: a relaxed NaCaCdIn crystal (PBE).

Geometry as POSCAR:
```
NaCaCdIn
1.0
0.000 3.701 3.701
3.701 0.000 3.701
3.701 3.701 0.000
Na Ca Cd In
1 1 1 1
Direct
0.000 0.000 0.000
0.250 0.250 0.250
0.750 0.750 0.750
0.500 0.500 0.500
```

total magnetization: 0.00 μB/f.u.



Which structure wins on stability? <ii> wins.



<i>
Entry from Alexandria via LeMat-Bulk: a relaxed CaCd2InSi crystal (PBE).

Geometry as POSCAR:
```
CaCd2InSi
1.0
5.267 0.000 0.000
0.000 5.267 0.000
0.000 0.000 5.183
Ca Cd In Si
1 2 1 1
Direct
0.000 0.000 0.000
0.000 0.500 0.500
0.500 0.000 0.500
0.500 0.500 0.000
0.500 0.500 0.500
```

total magnetization: 0.00 μB/f.u.



<ii>
Entry from Alexandria via LeMat-Bulk: a relaxed CaCd2InSi crystal (PBE).

Geometry as POSCAR:
```
CaCd2InSi
1.0
5.398 0.000 0.000
0.000 5.398 0.000
0.000 0.000 5.303
Ca Cd In Si
1 2 1 1
Direct
0.000 0.000 0.000
0.000 0.500 0.500
0.500 0.000 0.500
0.500 0.500 0.500
0.500 0.500 0.000
```

total magnetization: 0.00 μB/f.u.



Which structure wins on stability? <i> wins.



<i>
Entry from Alexandria via LeMat-Bulk: a relaxed KCaCd4 crystal (PBE).

Geometry as POSCAR:
```
KCaCd4
1.0
3.684 0.000 0.000
0.000 5.181 0.000
0.000 0.000 8.998
K Ca Cd
1 1 4
Direct
0.000 0.000 0.000
0.000 0.500 0.500
0.500 0.000 0.340
0.500 0.000 0.660
0.500 0.500 0.174
0.500 0.500 0.826
```

total magnetization: 0.00 μB/f.u.



<ii>
Entry from Alexandria via LeMat-Bulk: a relaxed KCaCd4 crystal (PBE).

Geometry as POSCAR:
```
KCaCd4
1.0
0.000 4.369 4.369
4.369 0.000 4.369
4.369 4.369 0.000
K Ca Cd
1 1 4
Direct
0.000 0.000 0.000
0.250 0.250 0.250
0.126 0.625 0.625
0.625 0.126 0.625
0.625 0.625 0.126
0.625 0.625 0.625
```

total magnetization: 0.00 μB/f.u.



Which structure wins on stability? <i> wins.



<i>
Entry from Alexandria via LeMat-Bulk: a relaxed Ca2LaCd3 crystal (PBE).

Geometry as POSCAR:
```
Ca2LaCd3
1.0
3.823 0.000 0.000
0.000 3.823 0.000
0.000 0.000 11.919
Ca La Cd
2 1 3
Direct
0.000 0.000 0.162
0.000 0.000 0.838
0.000 0.000 0.500
0.500 0.500 0.000
0.500 0.500 0.325
0.500 0.500 0.675
```

total magnetization: 0.42 μB/f.u.



<ii>
Entry from Alexandria via LeMat-Bulk: a relaxed Ca2LaCd3 crystal (PBE).

Geometry as POSCAR:
```
Ca2LaCd3
1.0
5.474 0.000 0.000
-2.737 4.741 0.000
0.000 0.000 6.743
Ca La Cd
2 1 3
Direct
0.333 0.667 0.160
0.667 0.333 0.840
0.000 0.000 0.500
0.000 0.000 0.000
0.333 0.667 0.666
0.667 0.333 0.334
```

total magnetization: 0.00 μB/f.u.



Which structure wins on stability? <ii> wins.



<i>
Entry from Alexandria via LeMat-Bulk: a relaxed CaLa2CdOs crystal (PBE).

Geometry as POSCAR:
```
CaLa2CdOs
1.0
5.495 0.000 0.000
0.000 5.495 0.000
0.000 0.000 5.523
Ca La Cd Os
1 2 1 1
Direct
0.000 0.000 0.000
0.000 0.500 0.500
0.500 0.000 0.500
0.500 0.500 0.000
0.500 0.500 0.500
```

total magnetization: 0.00 μB/f.u.



<ii>
Entry from Alexandria via LeMat-Bulk: a relaxed CaLa2CdOs crystal (PBE).

Geometry as POSCAR:
```
CaLa2CdOs
1.0
5.493 0.000 0.000
0.000 5.493 0.000
0.000 0.000 5.718
Ca La Cd Os
1 2 1 1
Direct
0.000 0.000 0.000
0.000 0.500 0.500
0.500 0.000 0.500
0.500 0.500 0.000
0.000 0.000 0.500
```

total magnetization: 0.00 μB/f.u.



Which structure wins on stability? <ii> wins.



<i>
Entry from Alexandria via LeMat-Bulk: a relaxed CaLaSmCd crystal (PBE).

Geometry as POSCAR:
```
CaLaSmCd
1.0
3.703 0.000 0.000
0.000 3.703 0.000
0.000 0.000 9.638
Ca La Sm Cd
1 1 1 1
Direct
0.000 0.000 0.000
0.500 0.500 0.312
0.000 0.000 0.577
0.500 0.500 0.786
```

total magnetization: 0.00 μB/f.u.



<ii>
Entry from Alexandria via LeMat-Bulk: a relaxed CaLaSmCd crystal (PBE).

Geometry as POSCAR:
```
CaLaSmCd
1.0
0.000 4.007 4.007
4.007 0.000 4.007
4.007 4.007 0.000
Ca La Sm Cd
1 1 1 1
Direct
0.000 0.000 0.000
0.750 0.750 0.750
0.250 0.250 0.250
0.500 0.500 0.500
```

total magnetization: 0.00 μB/f.u.



Which structure wins on stability? <i> wins.



<i>
Entry from Alexandria via LeMat-Bulk: a relaxed CaLaTbCd crystal (PBE).

Geometry as POSCAR:
```
CaLaTbCd
1.0
3.683 0.000 0.000
0.000 3.683 0.000
0.000 0.000 9.571
Ca La Tb Cd
1 1 1 1
Direct
0.000 0.000 0.000
0.500 0.500 0.316
0.000 0.000 0.580
0.500 0.500 0.782
```

total magnetization: 0.00 μB/f.u.



<ii>
Entry from Alexandria via LeMat-Bulk: a relaxed CaLaTbCd crystal (PBE).

Geometry as POSCAR:
```
CaLaTbCd
1.0
0.000 3.984 3.984
3.984 0.000 3.984
3.984 3.984 0.000
Ca La Tb Cd
1 1 1 1
Direct
0.000 0.000 0.000
0.250 0.250 0.250
0.750 0.750 0.750
0.500 0.500 0.500
```

total magnetization: 0.00 μB/f.u.



Which structure wins on stability? <i> wins.



<i>
Entry from Alexandria via LeMat-Bulk: a relaxed CaLa2CdTc crystal (PBE).

Geometry as POSCAR:
```
CaLa2CdTc
1.0
5.342 0.000 0.000
0.000 5.342 0.000
0.000 0.000 5.803
Ca La Cd Tc
1 2 1 1
Direct
0.000 0.000 0.000
0.000 0.500 0.500
0.500 0.000 0.500
0.500 0.500 0.000
0.000 0.000 0.500
```

total magnetization: 0.00 μB/f.u.



<ii>
Entry from Alexandria via LeMat-Bulk: a relaxed CaLa2CdTc crystal (PBE).

Geometry as POSCAR:
```
CaLa2CdTc
1.0
5.357 0.000 0.000
0.000 5.357 0.000
0.000 0.000 5.647
Ca La Cd Tc
1 2 1 1
Direct
0.000 0.000 0.000
0.000 0.500 0.500
0.500 0.000 0.500
0.500 0.500 0.000
0.500 0.500 0.500
```

total magnetization: 0.00 μB/f.u.



Which structure wins on stability? <i> wins.



<i>
Entry from Alexandria via LeMat-Bulk: a relaxed LiCa6Cd crystal (PBE).

Geometry as POSCAR:
```
LiCa6Cd
1.0
3.673 -6.365 0.000
3.673 6.365 0.000
-3.250 0.000 6.565
Li Ca Cd
1 6 1
Direct
0.000 0.000 0.000
0.057 0.451 0.251
0.251 0.251 0.748
0.451 0.057 0.251
0.549 0.943 0.749
0.749 0.749 0.252
0.943 0.549 0.749
0.500 0.500 0.500
```

total magnetization: 0.00 μB/f.u.



<ii>
Entry from Alexandria via LeMat-Bulk: a relaxed LiCa6Cd crystal (PBE).

Geometry as POSCAR:
```
LiCa6Cd
1.0
-2.749 2.749 9.437
2.749 -2.749 9.437
2.749 2.749 -9.437
Li Ca Cd
1 6 1
Direct
0.000 0.000 0.000
0.101 0.601 0.500
0.249 0.249 0.000
0.399 0.899 0.500
0.601 0.101 0.500
0.751 0.751 0.000
0.899 0.399 0.500
0.500 0.500 0.000
```

total magnetization: 0.00 μB/f.u.



Which structure wins on stability? <ii> wins.